VASP calculation (PBE-GGA) on crystalline GdTeAuO at its relaxed geometry.

a b c (Å): 5.3816 5.0888 6.8486
angles (deg): 90.00 90.00 90.00
Last column: nearest neighbours and their distance in Å.
Element x y z (fractional)
1 Au 0.0000 0.9795 0.5570  2 Te 2.63-2.66, 2 O 2.83
2 Gd 0.5000 0.7769 0.9651  2 O 2.09-2.14
3 Te 0.0000 0.3947 0.7920  2 Au 2.63-2.66
4 O 0.5000 0.9129 0.6770  2 Gd 2.09-2.14
5 Au 0.0000 0.0205 0.0570  2 Te 2.63-2.66, 2 O 2.83
6 O 0.5000 0.0871 0.1770  2 Gd 2.09-2.14
7 Te 0.0000 0.6053 0.2920  2 Au 2.63-2.66
8 Gd 0.5000 0.2231 0.4651  2 O 2.09-2.14

Computed properties:
Its space group is Pmc2_1, No. 26. The value obtained for the calculated volume is 23.44 A^3/atom. Its uncorrected energy is -5.46 eV/atom.

---

VASP calculation (PBE-GGA) on crystalline GdTeAuO at its relaxed geometry.

a b c (Å): 10.0518 5.7326 5.7326
angles (deg): 90.00 90.00 90.00
Last column: nearest neighbours and their distance in Å.
Element x y z (fractional)
1 O 0.0000 0.7500 0.5000  4 Gd 2.30
2 Gd 0.1089 0.9998 0.7500  4 O 2.30
3 O 0.0000 0.2500 0.0000  4 Gd 2.30
4 Te 0.7124 0.5004 0.2500  4 Au 2.94-2.95
5 Au 0.5006 0.2500 0.5000  4 Au 2.87, 4 Te 2.94-2.95
6 Au 0.4994 0.7500 0.0000  4 Au 2.87, 4 Te 2.94-2.95
7 Gd 0.8911 0.0001 0.2500  4 O 2.30
8 Au 0.5006 0.2500 0.0000  4 Au 2.87, 4 Te 2.94-2.95
9 Te 0.2875 0.0004 0.2500  4 Au 2.94-2.95
10 Te 0.7124 0.9996 0.7500  4 Au 2.94-2.95
11 Au 0.4994 0.7500 0.5000  4 Au 2.87, 4 Te 2.94-2.95
12 Gd 0.8911 0.4998 0.7500  4 O 2.30
13 O 0.0000 0.2500 0.5000  4 Gd 2.30
14 O 0.0000 0.7500 0.0000  4 Gd 2.30
15 Gd 0.1089 0.5001 0.2500  4 O 2.30
16 Te 0.2875 0.4996 0.7500  4 Au 2.94-2.95

Computed properties:
Its space group is Pbcm, No. 57. The value obtained for the calculated volume is 20.65 A^3/atom. Its uncorrected energy is -5.76 eV/atom.

---

VASP calculation (PBE-GGA) on crystalline GdTeAuO at its relaxed geometry.

a b c (Å): 4.0681 4.0681 10.3473
angles (deg): 90.00 90.00 90.27
Last column: nearest neighbours and their distance in Å.
Element x y z (fractional)
1 Te 0.1231 0.3769 0.7211  2 Au 2.70
2 O 0.6220 0.3780 0.0000  4 Gd 2.31
3 Te 0.6231 0.8769 0.2789  2 Au 2.70
4 O 0.1220 0.8780 0.0000  4 Gd 2.31
5 Au 0.8731 0.1269 0.5000  2 Te 2.70, 4 Au 2.87-2.88
6 Au 0.3731 0.6269 0.5000  2 Te 2.70, 4 Au 2.87-2.88
7 Gd 0.1221 0.3779 0.1052  4 O 2.31
8 Gd 0.6221 0.8779 0.8948  4 O 2.31

Computed properties:
Its space group is Aem2, No. 39. The value obtained for the calculated volume is 21.40 A^3/atom. Its uncorrected energy is -5.80 eV/atom.

---

VASP calculation (PBE-GGA) on crystalline GdTeAuO at its relaxed geometry.

a b c (Å): 5.7220 5.7220 10.1516
angles (deg): 90.00 90.00 90.00
Last column: nearest neighbours and their distance in Å.
Element x y z (fractional)
1 O 0.7510 0.7490 0.0034  4 Gd 2.29-2.31
2 O 0.2490 0.2510 0.0034  4 Gd 2.29-2.31
3 Gd 0.0000 0.0000 0.8938  4 O 2.31
4 Gd 0.5000 0.0000 0.1098  4 O 2.29-2.30
5 Au 0.8167 0.6833 0.4899  3 Te 2.77-2.92, 5 Au 2.96-2.97
6 Gd 0.5000 0.5000 0.8938  4 O 2.31
7 Te 0.5000 0.0000 0.7198  2 Au 2.77
8 Au 0.6833 0.1833 0.4899  3 Te 2.77-2.92, 5 Au 2.96-2.97
9 Gd 0.0000 0.5000 0.1098  4 O 2.29-2.30
10 Au 0.3167 0.8167 0.4899  3 Te 2.77-2.92, 5 Au 2.96-2.97
11 Te 0.0000 0.5000 0.7198  2 Au 2.77
12 Te 0.5000 0.5000 0.2901  4 Au 2.92
13 O 0.7490 0.2490 0.0034  4 Gd 2.29-2.31
14 Te 0.0000 0.0000 0.2901  4 Au 2.92
15 O 0.2510 0.7510 0.0034  4 Gd 2.29-2.31
16 Au 0.1833 0.3167 0.4899  3 Te 2.77-2.92, 5 Au 2.96-2.97

Computed properties:
Its space group is P4bm, No. 100. The value obtained for the calculated volume is 20.77 A^3/atom. Its uncorrected energy is -5.77 eV/atom.

---

VASP calculation (PBE-GGA) on crystalline GdTeAuO at its relaxed geometry.

a b c (Å): 5.7315 10.0541 5.7317
angles (deg): 90.00 90.00 90.00
Last column: nearest neighbours and their distance in Å.
Element x y z (fractional)
1 O 0.5000 0.0000 0.2500  4 Gd 2.30
2 Te 0.2499 0.2875 0.0000  4 Au 2.94
3 Gd 0.2500 0.1088 0.5000  4 O 2.30
4 Au 0.5000 0.5000 0.2500  4 Au 2.87, 4 Te 2.94
5 Gd 0.2500 0.8912 0.0000  4 O 2.30
6 Gd 0.7500 0.8912 0.5000  4 O 2.30
7 Te 0.7501 0.7125 0.0000  4 Au 2.94
8 Au 0.0000 0.5000 0.7500  4 Au 2.87, 4 Te 2.94
9 O 0.0000 0.0000 0.7500  4 Gd 2.30
10 Te 0.2499 0.7125 0.5000  4 Au 2.94
11 Gd 0.7500 0.1088 0.0000  4 O 2.30
12 O 0.0000 0.0000 0.2500  4 Gd 2.30
13 Te 0.7501 0.2875 0.5000  4 Au 2.94
14 O 0.5000 0.0000 0.7500  4 Gd 2.30
15 Au 0.0000 0.5000 0.2500  4 Au 2.87, 4 Te 2.94
16 Au 0.5000 0.5000 0.7500  4 Au 2.87, 4 Te 2.94

Computed properties:
Its space group is P4/nmm, No. 129. The value obtained for the calculated volume is 20.64 A^3/atom. Its uncorrected energy is -5.76 eV/atom.

---

VASP calculation (PBE-GGA) on crystalline GdTeAuO at its relaxed geometry.

a b c (Å): 4.0667 4.0667 20.7040
angles (deg): 90.00 90.00 90.29
Last column: nearest neighbours and their distance in Å.
Element x y z (fractional)
1 Gd 0.4651 0.0352 0.5526  4 O 2.31
2 Gd 0.9648 0.5349 0.4474  4 O 2.31
3 Te 0.9637 0.5333 0.1395  2 Au 2.70
4 Au 0.2212 0.7840 0.7499  2 Te 2.70, 4 Au 2.87-2.88
5 O 0.9650 0.0350 0.0000  4 Gd 2.31
6 Te 0.4637 0.0333 0.3605  2 Au 2.70
7 Te 0.4667 0.0363 0.8605  2 Au 2.70
8 Gd 0.9651 0.5352 0.9474  4 O 2.31
9 Gd 0.4648 0.0349 0.0526  4 O 2.31
10 O 0.4650 0.5350 0.5000  4 Gd 2.31
11 O 0.4650 0.5350 0.0000  4 Gd 2.31
12 Au 0.2160 0.7788 0.2501  2 Te 2.70, 4 Au 2.87-2.88
13 Au 0.7212 0.2840 0.7501  2 Te 2.70, 4 Au 2.87-2.88
14 Te 0.9667 0.5363 0.6395  2 Au 2.70
15 O 0.9650 0.0350 0.5000  4 Gd 2.31
16 Au 0.7160 0.2788 0.2499  2 Te 2.70, 4 Au 2.87-2.88

Computed properties:
Its space group is Aea2, No. 41. The value obtained for the calculated volume is 21.40 A^3/atom. Its uncorrected energy is -5.80 eV/atom.

---

VASP calculation (PBE-GGA) on crystalline GdTeAuO at its relaxed geometry.

a b c (Å): 5.7318 5.7088 10.2008
angles (deg): 90.00 90.00 90.00
Last column: nearest neighbours and their distance in Å.
Element x y z (fractional)
1 O 0.2485 0.7507 0.0029  4 Gd 2.29-2.31
2 O 0.7515 0.2493 0.0029  4 Gd 2.29-2.31
3 Au 0.1588 0.7953 0.4913  3 Te 2.75-3.07, 5 Au 2.91-3.04
4 Te 0.0000 0.0000 0.7190  2 Au 2.75
5 Gd 0.0000 0.5000 0.8936  4 O 2.31
6 Gd 0.5000 0.0000 0.8936  4 O 2.31
7 Au 0.8412 0.2047 0.4913  3 Te 2.75-3.07, 5 Au 2.91-3.04
8 O 0.2515 0.2507 0.0029  4 Gd 2.29-2.31
9 Gd 0.0000 0.0000 0.1098  4 O 2.29-2.31
10 O 0.7485 0.7493 0.0029  4 Gd 2.29-2.31
11 Au 0.6588 0.7047 0.4913  3 Te 2.75-3.07, 5 Au 2.91-3.04
12 Au 0.3412 0.2953 0.4913  3 Te 2.75-3.07, 5 Au 2.91-3.04
13 Te 0.5000 0.0000 0.2893  4 Au 2.81-3.07
14 Te 0.0000 0.5000 0.2893  4 Au 2.81-3.07
15 Gd 0.5000 0.5000 0.1098  4 O 2.29-2.31
16 Te 0.5000 0.5000 0.7190  2 Au 2.75

Computed properties:
Its space group is Pba2, No. 32. The value obtained for the calculated volume is 20.86 A^3/atom. Its uncorrected energy is -5.78 eV/atom.

---

VASP calculation (PBE-GGA) on crystalline GdTeAuO at its relaxed geometry.

a b c (Å): 7.7670 6.3626 6.3482
angles (deg): 90.00 89.90 90.00
Last column: nearest neighbours and their distance in Å.
Element x y z (fractional)
1 Te 0.8056 0.9490 0.2017  4 Au 2.69-2.95, 1 O 3.00
2 Gd 0.6006 0.0204 0.7455  3 O 2.26-2.39
3 O 0.4994 0.7590 0.5049  3 Gd 2.26-2.39
4 Te 0.8056 0.5510 0.7017  4 Au 2.69-2.95, 1 O 3.00
5 Te 0.1944 0.4490 0.2983  4 Au 2.69-2.95, 1 O 3.00
6 Au 0.0764 0.7991 0.4907  4 Te 2.69-2.95, 1 Au 2.82
7 Au 0.0764 0.7009 0.9907  4 Te 2.69-2.95, 1 Au 2.82
8 Gd 0.3994 0.5204 0.7545  3 O 2.26-2.39
9 O 0.4994 0.7410 0.0049  3 Gd 2.26-2.39
10 Te 0.1944 0.0510 0.7983  4 Au 2.69-2.95, 1 O 3.00
11 Au 0.9236 0.2991 0.0093  4 Te 2.69-2.95, 1 Au 2.82
12 O 0.5006 0.2590 0.9951  3 Gd 2.26-2.39
13 O 0.5006 0.2410 0.4951  3 Gd 2.26-2.39
14 Gd 0.3994 0.9796 0.2545  3 O 2.26-2.39
15 Au 0.9236 0.2009 0.5093  4 Te 2.69-2.95, 1 Au 2.82
16 Gd 0.6006 0.4796 0.2455  3 O 2.26-2.39

Computed properties:
Its space group is P2_1/c, No. 14. The value obtained for the calculated volume is 19.61 A^3/atom. Its uncorrected energy is -5.60 eV/atom.

---

VASP calculation (PBE-GGA) on crystalline GdTeAuO at its relaxed geometry.

a b c (Å): 4.0544 4.0544 10.0322
angles (deg): 90.00 90.00 90.00
Last column: nearest neighbours and their distance in Å.
Element x y z (fractional)
1 Te 0.7500 0.7500 0.2872  4 Au 2.94
2 Te 0.2500 0.2500 0.7128  4 Au 2.94
3 Gd 0.2500 0.2500 0.1091  4 O 2.30
4 O 0.2500 0.7500 0.0000  4 Gd 2.30
5 Gd 0.7500 0.7500 0.8909  4 O 2.30
6 Au 0.7500 0.2500 0.5000  4 Au 2.87, 4 Te 2.94
7 O 0.7500 0.2500 0.0000  4 Gd 2.30
8 Au 0.2500 0.7500 0.5000  4 Au 2.87, 4 Te 2.94

Computed properties:
Its space group is P4/nmm, No. 129. The value obtained for the calculated volume is 20.61 A^3/atom. Its uncorrected energy is -5.76 eV/atom.

---

VASP calculation (PBE-GGA) on crystalline GdOsAu at its relaxed geometry.

a b c (Å): 4.5932 4.5932 4.5932
angles (deg): 60.00 60.00 60.00
Last column: nearest neighbours and their distance in Å.
Element x y z (fractional)
1 Os 0.0000 0.0000 0.0000  4 Gd 2.81, 4 Au 2.81
2 Gd 0.7500 0.7500 0.7500  4 Os 2.81
3 Au 0.2500 0.2500 0.2500  4 Os 2.81

Computed properties:
Its space group is F-43m, No. 216. The formation energy from the elements comes out at 0.387 eV per atom. The value obtained for the calculated volume is 22.84 A^3/atom.